Below is an optimized crystal structure of OsCl2O, with properties calculated at the PBEsol level.

For the excess energy over the best structure of this formula in the dataset, the calculation gives 1644 meV per atom. The total magnetization is 0.01 Bohr magnetons per cell.

```
8
Lattice="-2.9992 2.9992 3.5652 2.9992 -2.9992 3.5652 2.9992 2.9992 -3.5652" Properties=species:S:1:pos:R:3 pbc="T T T"
Os 0.0000 0.0000 0.0000
Os 0.0000 2.9992 1.7826
Cl 1.4996 1.4032 -0.8913
Cl 1.5960 -1.4996 4.4565
Cl 1.4996 1.5960 2.6739
Cl 1.4032 4.4987 0.8913
O 2.9992 0.0000 1.7826
O 0.0000 0.0000 3.5652
```